No. 1
Computed, not measured: an optimized crystal structure of Gd2Er3Ga3 at the PBE level of DFT.

Cell: 5.460 6.285 6.285 Å, 70.42 90.00 90.00°
Positions (direct):
1 Er 0.500 0.127 0.127
2 Er 0.000 0.812 0.314
3 Er 0.000 0.314 0.812
4 Ga 0.500 0.606 0.255
5 Ga 0.500 0.255 0.606
6 Ga 0.000 0.836 0.836
7 Gd 0.000 0.318 0.318
8 Gd 0.500 0.732 0.732

Properties
Total DFT energy (no corrections)   -4.2664 eV/atom
Excess energy over the best structure of this formula in the dataset   0.135 eV per atom
Space-group type   Amm2
Volume   203.2 Å³/cell
Total magnetization   0.0068 μB per atom



No. 2
Computed, not measured: an optimized crystal structure of GdErGa at the PBE level of DFT.

Cell: 4.948 4.948 4.948 Å, 60.00 60.00 60.00°
Positions (direct):
1 Er 0.250 0.250 0.250
2 Ga 0.000 0.000 0.000
3 Gd 0.750 0.750 0.750

Properties
Total DFT energy (no corrections)   -4.3306 eV/atom
Space-group type   F-43m
Volume   85.7 Å³/cell
Total magnetization   0.0145 μB per atom



No. 3
Computed, not measured: an optimized crystal structure of Gd2Er3Ga3 at the PBE level of DFT.

Cell: 6.573 4.801 6.741 Å, 90.00 107.70 90.00°
Positions (direct):
1 Er 0.872 0.500 0.112
2 Er 0.380 0.500 0.131
3 Er 0.080 0.000 0.846
4 Ga 0.184 0.000 0.316
5 Ga 0.872 0.500 0.632
6 Ga 0.567 0.000 0.930
7 Gd 0.686 0.000 0.411
8 Gd 0.359 0.500 0.621

Properties
Total DFT energy (no corrections)   -4.4012 eV/atom
Excess energy over the best structure of this formula in the dataset   0.000 eV per atom
Space-group type   Pm
Volume   202.7 Å³/cell
Total magnetization   0.0024 μB per atom



No. 4
Computed, not measured: an optimized crystal structure of Gd2Er3Ga3 at the PBE level of DFT.

Cell: 6.915 6.915 4.913 Å, 90.00 90.00 120.00°
Positions (direct):
1 Er 0.156 0.312 0.000
2 Er 0.156 0.844 0.000
3 Er 0.688 0.844 0.000
4 Ga 0.295 0.148 0.500
5 Ga 0.852 0.148 0.500
6 Ga 0.852 0.705 0.500
7 Gd 0.667 0.333 0.000
8 Gd 0.333 0.667 0.500

Properties
Total DFT energy (no corrections)   -4.2751 eV/atom
Excess energy over the best structure of this formula in the dataset   0.126 eV per atom
Space-group type   P-6m2
Volume   203.4 Å³/cell
Total magnetization   0.0010 μB per atom



No. 5
Computed, not measured: an optimized crystal structure of GdErGa5 at the PBE level of DFT.

Cell: 4.236 4.236 8.322 Å, 90.00 90.00 90.00°
Positions (direct):
1 Er 0.000 0.000 0.500
2 Ga 0.500 0.500 0.000
3 Ga 0.500 0.000 0.257
4 Ga 0.000 0.500 0.257
5 Ga 0.500 0.000 0.743
6 Ga 0.000 0.500 0.743
7 Gd 0.000 0.000 0.000

Properties
Total DFT energy (no corrections)   -3.9028 eV/atom
Space-group type   P4/mmm
Volume   149.3 Å³/cell
Total magnetization   0.0035 μB per atom



No. 6
Computed, not measured: an optimized crystal structure of GdErGa2 at the PBE level of DFT.

Cell: 5.237 6.629 6.629 Å, 125.37 90.00 90.00°
Positions (direct):
1 Er 0.250 0.850 0.708
2 Er 0.750 0.708 0.850
3 Ga 0.250 0.806 0.148
4 Ga 0.250 0.331 0.200
5 Ga 0.750 0.200 0.331
6 Ga 0.750 0.148 0.806
7 Gd 0.750 0.662 0.295
8 Gd 0.250 0.295 0.662

Properties
Total DFT energy (no corrections)   -4.1458 eV/atom
Excess energy over the best structure of this formula in the dataset   0.299 eV per atom
Space-group type   Ama2
Volume   187.7 Å³/cell
Total magnetization   0.0013 μB per atom



No. 7
Computed, not measured: an optimized crystal structure of GdErGa2 at the PBE level of DFT.

Cell: 4.059 5.863 5.863 Å, 43.51 90.00 90.00°
Positions (direct):
1 Er 0.500 0.361 0.361
2 Ga 0.500 0.077 0.077
3 Ga 0.000 0.923 0.923
4 Gd 0.000 0.640 0.640

Properties
Total DFT energy (no corrections)   -4.4451 eV/atom
Excess energy over the best structure of this formula in the dataset   0.000 eV per atom
Space-group type   Amm2
Volume   96.1 Å³/cell
Total magnetization   0.0293 μB per atom



No. 8
Computed, not measured: an optimized crystal structure of GdErGa2 at the PBE level of DFT.

Cell: 4.980 6.633 6.633 Å, 57.92 90.00 90.00°
Positions (direct):
1 Er 0.000 0.834 0.302
2 Er 0.000 0.302 0.834
3 Ga 0.500 0.156 0.156
4 Ga 0.500 0.674 0.186
5 Ga 0.500 0.186 0.674
6 Ga 0.000 0.836 0.836
7 Gd 0.000 0.324 0.324
8 Gd 0.500 0.688 0.688

Properties
Total DFT energy (no corrections)   -4.1731 eV/atom
Excess energy over the best structure of this formula in the dataset   0.272 eV per atom
Space-group type   Amm2
Volume   185.6 Å³/cell
Total magnetization   0.0009 μB per atom



No. 9
Computed, not measured: an optimized crystal structure of Gd2ErGa5 at the PBE level of DFT.

Cell: 4.837 6.124 6.124 Å, 71.95 90.00 90.00°
Positions (direct):
1 Er 0.000 0.095 0.095
2 Ga 0.000 0.609 0.186
3 Ga 0.500 0.843 0.366
4 Ga 0.000 0.186 0.609
5 Ga 0.500 0.366 0.843
6 Ga 0.500 0.877 0.877
7 Gd 0.500 0.345 0.345
8 Gd 0.000 0.679 0.679

Properties
Total DFT energy (no corrections)   -4.1259 eV/atom
Space-group type   Amm2
Volume   172.5 Å³/cell
Total magnetization   0.0012 μB per atom



No. 10
Computed, not measured: an optimized crystal structure of GdErGa2 at the PBE level of DFT.

Cell: 6.180 6.180 5.049 Å, 90.00 90.00 109.45°
Positions (direct):
1 Er 0.626 0.374 0.250
2 Er 0.374 0.626 0.750
3 Ga 0.130 0.374 0.250
4 Ga 0.626 0.870 0.250
5 Ga 0.374 0.130 0.750
6 Ga 0.870 0.626 0.750
7 Gd 0.129 0.871 0.250
8 Gd 0.871 0.129 0.750

Properties
Total DFT energy (no corrections)   -4.3945 eV/atom
Excess energy over the best structure of this formula in the dataset   0.051 eV per atom
Space-group type   Cmcm
Volume   181.8 Å³/cell
Total magnetization   0.0001 μB per atom



No. 11
Computed, not measured: an optimized crystal structure of GdEr2Ga3NiGe2 at the PBE level of DFT.

Cell: 4.146 6.974 6.974 Å, 120.22 90.00 90.00°
Positions (direct):
1 Er 0.000 0.999 0.399
2 Er 0.000 0.399 0.999
3 Ga 0.500 0.771 0.002
4 Ga 0.500 0.229 0.229
5 Ga 0.500 0.002 0.771
6 Gd 0.000 0.599 0.599
7 Ge 0.500 0.668 0.330
8 Ge 0.500 0.330 0.668
9 Ni 0.000 0.003 0.003

Properties
Total DFT energy (no corrections)   -4.9035 eV/atom
Space-group type   Amm2
Volume   174.2 Å³/cell
Total magnetization   0.0001 μB per atom



No. 12
Computed, not measured: an optimized crystal structure of Gd2ErMg3InGa2 at the PBE level of DFT.

Cell: 4.562 7.329 7.329 Å, 119.67 90.00 90.00°
Positions (direct):
1 Er 0.000 0.564 0.564
2 Ga 0.500 0.666 0.335
3 Ga 0.500 0.335 0.666
4 Gd 0.000 0.438 0.001
5 Gd 0.000 0.001 0.438
6 In 0.000 0.997 0.997
7 Mg 0.500 0.250 0.250
8 Mg 0.500 0.000 0.750
9 Mg 0.500 0.750 0.000

Properties
Total DFT energy (no corrections)   -3.4978 eV/atom
Space-group type   Amm2
Volume   212.9 Å³/cell
Total magnetization   0.0006 μB per atom